Here is SrMg2Zn after structural relaxation from the Open Quantum Materials Database. Energies are from PBE.

Cell and atoms, written as extended XYZ:
```
4
Lattice="-4.647 -2.195 1.016 -1.236 -1.366 4.904 -3.649 2.688 2.627" Properties=species:S:1:pos:R:3 pbc="T T T"
Mg -2.383 -0.218 2.137
Sr -7.148 -0.654 6.410
Mg 0.000 0.000 0.000
Zn -4.766 -0.436 4.273
```

Calculated values
Space-group type ... F-43m, No. 216
Total DFT energy (no corrections) ... -1.56 eV per atom